# 1
Here is MnZn3 after structural relaxation from Alexandria. Energies are from PBEsol.

Structure (POSCAR):
```
MnZn3
1.0
2.5645 0.0000 0.0000
-0.8548 4.8596 0.0000
-0.8548 -2.4298 4.2086
Zn Mn
3 1
direct
0.5000 0.0000 0.5000 Zn
0.0000 0.5000 0.5000 Zn
0.5000 0.5000 0.0000 Zn
0.0000 0.0000 0.0000 Mn
```


# 2
Here is MnZn5 after structural relaxation from Alexandria. Energies are from PBEsol.

Structure (POSCAR):
```
MnZn5
1.0
2.7325 0.0000 0.0000
0.0000 2.7325 0.0000
0.0000 0.0000 10.8802
Zn Mn
5 1
direct
0.0000 0.0000 0.6588 Zn
0.0000 0.0000 0.0000 Zn
0.0000 0.0000 0.3412 Zn
0.5000 0.5000 0.1694 Zn
0.5000 0.5000 0.8306 Zn
0.5000 0.5000 0.5000 Mn
```


no.,calculated total energy (eV/atom)
1,-3.545
2,-2.900